Sc5TlGe2 | PBE | optimized geometry

Cell lengths 7.345, 7.345, 8.252 Å; angles 116.43, 116.43, 90.00 degrees
Fractional coordinates of all 16 atoms:
Sc 0.516 0.700 0.716
Sc 0.800 0.984 0.284
Sc 0.000 0.000 0.000
Sc 0.500 0.500 0.000
Sc 0.200 0.016 0.716
Sc 0.700 0.200 0.716
Sc 0.016 0.516 0.716
Sc 0.300 0.800 0.284
Sc 0.984 0.484 0.284
Sc 0.484 0.300 0.284
Tl 0.750 0.750 0.500
Tl 0.250 0.250 0.500
Ge 0.144 0.356 0.000
Ge 0.644 0.144 0.000
Ge 0.356 0.856 0.000
Ge 0.856 0.644 0.000

Computed properties:
- Theoretical density: 5.5 g/cm³
- Total magnetization: 0.002 Bohr magnetons per cell
- DFT formation energy: -61 kJ/mol of atoms
- Space-group type: I4/mcm, No. 140
- VASP energy: -96.6 eV per cell